This record from the Alexandria database describes a relaxed LiTmZrRe crystal. The functional is PBE.

Values from the calculation:
For the total energy, the calculation gives -6.910 eV/atom. As for the total magnetic moment: 0.00 μB per formula unit. As for the symmetry: F-43m (216).

a = 4.765 Å, b = 4.765 Å, c = 4.765 Å
α = 60.00°, β = 60.00°, γ = 60.00°
Atoms (fractional coordinates):
Li (0.000, 0.000, 0.000)
Tm (0.750, 0.750, 0.750)
Zr (0.250, 0.250, 0.250)
Re (0.500, 0.500, 0.500)